1.
DFT (GGA-PBE) results for a relaxed structure of CsYGe3.

ΔH_f (0 K) in eV/atom: 0.30
Density of states at the Fermi level in states/eV per cell: 2.35
DFT total energy in eV per atom: -3.9386
Crystal system: cubic
Relative energy among the computed polymorphs in eV per atom: 0.000
Space group: Pm-3m (221)

a b c (Å): 5.5969 5.5969 5.5969
angles (deg): 90.00 90.00 90.00
Atoms (fractional coordinates):
Cs 0.0000 0.0000 0.0000
Y 0.5000 0.5000 0.5000
Ge 0.0000 0.5000 0.5000
Ge 0.5000 0.0000 0.5000
Ge 0.5000 0.5000 0.0000



2.
DFT (GGA-PBE) results for a relaxed structure of KBa2Cl.

Density of states at the Fermi level in states/eV per cell: 9.06
DFT total energy in eV per atom: -2.4617
Crystal system: orthorhombic
Relative energy among the computed polymorphs in eV per atom: 0.065
Space group: Immm (71)

a b c (Å): 4.2788 7.6805 13.4135
angles (deg): 90.00 90.00 90.00
Atoms (fractional coordinates):
K 0.0000 0.0000 0.0000
K 0.5000 0.5000 0.5000
Ba 0.0000 0.5000 0.1832
Ba 0.0000 0.5000 0.8168
Ba 0.5000 0.0000 0.3168
Ba 0.5000 0.0000 0.6832
Cl 0.0000 0.0000 0.5000
Cl 0.5000 0.5000 0.0000



3.
DFT (GGA-PBE) results for a relaxed structure of Pm4SmEr2Mg.

ΔH_f (0 K) in eV/atom: 0.01
Density of states at the Fermi level in states/eV per cell: 10.33
DFT total energy in eV per atom: -4.2980
Crystal system: tetragonal
Space group: P4/mmm (123)

a b c (Å): 5.0525 5.0525 9.9958
angles (deg): 90.00 90.00 90.00
Atoms (fractional coordinates):
Pm 0.0000 0.5000 0.2442
Pm 0.0000 0.5000 0.7558
Pm 0.5000 0.0000 0.2442
Pm 0.5000 0.0000 0.7558
Sm 0.0000 0.0000 0.5000
Er 0.0000 0.0000 0.0000
Er 0.5000 0.5000 0.5000
Mg 0.5000 0.5000 0.0000



4.
DFT (GGA-PBE) results for a relaxed structure of ReHgAs2.

ΔH_f (0 K) in eV/atom: 0.07
Density of states at the Fermi level in states/eV per cell: 5.16
DFT total energy in eV per atom: -5.4467
Crystal system: trigonal
Space group: R-3m (166)

a b c (Å): 3.1681 3.1681 30.3261
angles (deg): 90.00 90.00 120.00
Atoms (fractional coordinates):
Re 0.0000 0.0000 0.0000
Re 0.3333 0.6667 0.6667
Re 0.6667 0.3333 0.3333
Hg 0.0000 0.0000 0.5000
Hg 0.3333 0.6667 0.1667
Hg 0.6667 0.3333 0.8333
As 0.0000 0.0000 0.2747
As 0.0000 0.0000 0.7253
As 0.3333 0.6667 0.3920
As 0.3333 0.6667 0.9413
As 0.6667 0.3333 0.0587
As 0.6667 0.3333 0.6080



5.
DFT (GGA-PBE) results for a relaxed structure of DyGePd6.

ΔH_f (0 K) in eV/atom: -0.32
Density of states at the Fermi level in states/eV per cell: 2.89
DFT total energy in eV per atom: -5.3623
Crystal system: trigonal
Relative energy among the computed polymorphs in eV per atom: 0.308
Space group: R-3m (166)

a b c (Å): 6.9974 6.9974 6.9974
angles (deg): 46.29 46.29 46.29
Atoms (fractional coordinates):
Dy 0.0000 0.0000 0.0000
Ge 0.5000 0.5000 0.5000
Pd 0.0626 0.5762 0.5762
Pd 0.4238 0.4238 0.9374
Pd 0.4238 0.9374 0.4238
Pd 0.5762 0.0626 0.5762
Pd 0.5762 0.5762 0.0626
Pd 0.9374 0.4238 0.4238



6.
DFT (GGA-PBE) results for a relaxed structure of LiTmGaRu.

ΔH_f (0 K) in eV/atom: -0.36
Density of states at the Fermi level in states/eV per cell: 6.14
DFT total energy in eV per atom: -5.0273
Crystal system: cubic
Space group: F-43m (216)

a b c (Å): 6.4562 6.4562 6.4562
angles (deg): 90.00 90.00 90.00
Atoms (fractional coordinates):
Li 0.0000 0.0000 0.0000
Li 0.0000 0.5000 0.5000
Li 0.5000 0.0000 0.5000
Li 0.5000 0.5000 0.0000
Tm 0.2500 0.2500 0.7500
Tm 0.2500 0.7500 0.2500
Tm 0.7500 0.2500 0.2500
Tm 0.7500 0.7500 0.7500
Ga 0.2500 0.2500 0.2500
Ga 0.2500 0.7500 0.7500
Ga 0.7500 0.2500 0.7500
Ga 0.7500 0.7500 0.2500
Ru 0.0000 0.0000 0.5000
Ru 0.0000 0.5000 0.0000
Ru 0.5000 0.0000 0.0000
Ru 0.5000 0.5000 0.5000



7.
DFT (GGA-PBE) results for a relaxed structure of CaSe2O.

Density of states at the Fermi level in states/eV per cell: 13.81
DFT total energy in eV per atom: -3.0263
Crystal system: trigonal
Space group: R-3m (166)

a b c (Å): 3.4065 3.4065 25.7098
angles (deg): 90.00 90.00 120.00
Atoms (fractional coordinates):
Ca 0.0000 0.0000 0.0000
Ca 0.3333 0.6667 0.6667
Ca 0.6667 0.3333 0.3333
Se 0.0000 0.0000 0.1085
Se 0.0000 0.0000 0.8915
Se 0.3333 0.6667 0.5582
Se 0.3333 0.6667 0.7751
Se 0.6667 0.3333 0.2249
Se 0.6667 0.3333 0.4418
O 0.0000 0.0000 0.5000
O 0.3333 0.6667 0.1667
O 0.6667 0.3333 0.8333



8.
DFT (GGA-PBE) results for a relaxed structure of TmHfGa3.

ΔH_f (0 K) in eV/atom: -0.53
Density of states at the Fermi level in states/eV per cell: 4.42
DFT total energy in eV per atom: -5.2350
Crystal system: orthorhombic
Space group: Cmcm (63)

a b c (Å): 12.8110 12.8110 4.0892
angles (deg): 90.00 90.00 163.14
Atoms (fractional coordinates):
Tm 0.0764 0.9236 0.7500
Tm 0.9236 0.0764 0.2500
Hf 0.2108 0.7892 0.2500
Hf 0.7892 0.2108 0.7500
Ga 0.3192 0.6808 0.2500
Ga 0.3766 0.6234 0.7500
Ga 0.4745 0.5255 0.7500
Ga 0.5255 0.4745 0.2500
Ga 0.6234 0.3766 0.2500
Ga 0.6808 0.3192 0.7500



9.
DFT (GGA-PBE) results for a relaxed structure of VAgSb.

Density of states at the Fermi level in states/eV per cell: 8.24
DFT total energy in eV per atom: -5.2379
Crystal system: monoclinic
Relative energy among the computed polymorphs in eV per atom: 0.115
Space group: Cm (8)

a b c (Å): 9.3591 3.3953 9.2483
angles (deg): 90.00 120.29 90.00
Atoms (fractional coordinates):
V 0.0000 0.0000 0.0000
V 0.1211 0.5000 0.8918
V 0.5000 0.5000 0.0000
V 0.6211 0.0000 0.8918
Ag 0.3572 0.0000 0.1387
Ag 0.4233 0.5000 0.5978
Ag 0.8572 0.5000 0.1387
Ag 0.9233 0.0000 0.5978
Sb 0.1979 0.5000 0.2579
Sb 0.2766 0.0000 0.7549
Sb 0.6979 0.0000 0.2579
Sb 0.7766 0.5000 0.7549



10.
DFT (GGA-PBE) results for a relaxed structure of KH3C2O3.

Density of states at the Fermi level in states/eV per cell: 0.00
DFT total energy in eV per atom: -5.9406
Crystal system: triclinic
Space group: P-1 (2)

a b c (Å): 3.8941 5.7456 10.0838
angles (deg): 80.70 89.82 86.09
Atoms (fractional coordinates):
K 0.1312 0.2149 0.1230
K 0.8688 0.7851 0.8770
H 0.0295 0.3334 0.6141
H 0.1874 0.0460 0.5815
H 0.4366 0.2969 0.5350
H 0.5634 0.7031 0.4650
H 0.8126 0.9540 0.4185
H 0.9705 0.6666 0.3859
C 0.2584 0.2128 0.6098
C 0.4958 0.3374 0.8068
C 0.5042 0.6626 0.1932
C 0.7416 0.7872 0.3902
O 0.3404 0.7333 0.0841
O 0.3976 0.5443 0.7540
O 0.4211 0.1494 0.7398
O 0.5789 0.8506 0.2602
O 0.6024 0.4557 0.2460
O 0.6596 0.2667 0.9159